{"formula": "Cd2RhAu", "functional": "PBE", "state": "optimized geometry", "m_tot_mub_per_fu": 0.0, "e_form_kj_per_mol_atoms": -18.14, "cell": [[4.2746, 0.0000, 0.0000], [0.0000, 4.2746, 0.0000], [0.0000, 0.0000, 3.9121]], "species": ["Cd", "Cd", "Rh", "Au"], "frac_coords": [[0.0000, 0.5000, 0.0000], [0.5000, 0.0000, 0.0000], [0.0000, 0.0000, 0.5000], [0.5000, 0.5000, 0.5000]]}


{"formula": "NbReSi2", "functional": "PBE", "state": "optimized geometry", "m_tot_mub_per_fu": 0.0, "formation_energy_uncorrected_ev_per_atom": 0.215, "cell": [[-1.9012, 1.9012, 9.0035], [1.9012, -1.9012, 9.0035], [1.9012, 1.9012, -9.0035]], "species": ["Nb", "Nb", "Re", "Re", "Si", "Si", "Si", "Si"], "frac_coords": [[0.0000, 0.0000, 0.0000], [0.7500, 0.2500, 0.5000], [0.2500, 0.7500, 0.5000], [0.5000, 0.5000, 0.0000], [0.1447, 0.6250, 0.0197], [0.3750, 0.3947, 0.5197], [0.6053, 0.1250, 0.9803], [0.8750, 0.8553, 0.4803]]}


{"formula": "BaLa2P2", "functional": "PBE", "state": "optimized geometry", "m_tot_mub_per_fu": 0.0, "e_form_kj_per_mol_atoms": -84.75, "e_above_lowest_polymorph_mev_per_atom": 174, "cell": [[-2.3563, 2.3563, 7.1016], [2.3563, -2.3563, 7.1016], [2.3563, 2.3563, -7.1016]], "species": ["Ba", "La", "La", "P", "P"], "frac_coords": [[0.0000, 0.0000, 0.0000], [0.2500, 0.7500, 0.5000], [0.7500, 0.2500, 0.5000], [0.3777, 0.3777, 0.0000], [0.6222, 0.6222, 0.0000]]}


{"formula": "IrPb2Se", "functional": "PBE", "state": "optimized geometry", "m_tot_mub_per_fu": 0.0, "formation_energy_uncorrected_ev_per_atom": 0.161, "cell": [[3.4254, 0.0000, 0.0000], [0.0000, 3.4254, 0.0000], [0.0000, 0.0000, 8.1534]], "species": ["Ir", "Pb", "Pb", "Se"], "frac_coords": [[0.0000, 0.0000, 0.0000], [0.0000, 0.0000, 0.6008], [0.5000, 0.5000, 0.2621], [0.5000, 0.5000, 0.8898]]}


What did the first record say?
{"formula": "Cd2RhAu", "functional": "PBE", "state": "optimized geometry", "m_tot_mub_per_fu": 0.0, "e_form_kj_per_mol_atoms": -18.14, "cell": [[4.2746, 0.0000, 0.0000], [0.0000, 4.2746, 0.0000], [0.0000, 0.0000, 3.9121]], "species": ["Cd", "Cd", "Rh", "Au"], "frac_coords": [[0.0000, 0.5000, 0.0000], [0.5000, 0.0000, 0.0000], [0.0000, 0.0000, 0.5000], [0.5000, 0.5000, 0.5000]]}